Here is crystalline TlSi3 at its relaxed geometry from Alexandria. Energies are from PBE.

Results
**SG**: P4mm (99)
**Energy relative to the lowest polymorph listed for this composition**: 0.016 eV/atom
**Formation energy (no corrections)**: 0.383 eV per atom
**DFT total energy**: -17.10 eV/f.u.

Cell and atoms, written as extended XYZ:
```
4
Lattice="3.574 0.000 0.000 0.000 3.574 0.000 0.000 0.000 6.817" Properties=species:S:1:pos:R:3 pbc="T T T"
Tl 0.000 0.000 0.000
Si 0.000 1.787 3.990
Si 1.787 0.000 3.990
Si 1.787 1.787 2.215
```